[1]
Here is crystalline Th2CoSi5 at its relaxed geometry from Alexandria. Energies are from PBE.

Cell: 5.8458 5.8458 8.9340 Å, 90.00 90.00 90.00°
With the nearest neighbours (Å) after each atom.
Space group I4mm (No. 107)
Asymmetric unit:
Th: 0.0000 0.5000 0.0000 x4  10 Si 2.97-3.11
Co: 0.0000 0.0000 0.1957 x2  5 Si 2.28-2.36
Si: 0.0000 0.0000 0.9405 x2  1 Co 2.28, 4 Si 2.54
Si: 0.2187 0.2187 0.7415 x8  1 Co 2.36, 3 Si 2.54-2.56

Computed properties:
- Density of states at the Fermi level: 11.81 states/eV/cell
- Formation energy without anion corrections: -43 kJ/mol of atoms
- Magnetic moment: 0.0 μB per cell
- Electronic total energy: -6.58 eV/atom
- Calculated volume: 19.1 Å³/atom

[2]
Here is crystalline Zr2Al3P4 at its relaxed geometry from Alexandria. Energies are from PBE.

Cell: 3.7034 3.7034 29.0679 Å, 90.00 90.00 120.00°
With the nearest neighbours (Å) after each atom.
Space group P6_3mc (No. 186)
Asymmetric unit:
Zr: 0.3333 0.6667 0.0000 x2  6 P 2.58-2.77
Zr: 0.3333 0.6667 0.4015 x2  6 P 2.57-2.83
Al: 0.0000 0.0000 0.1069 x2  3 P 2.53
Al: 0.0000 0.0000 0.2995 x2  4 P 2.35-2.41
Al: 0.3333 0.6667 0.6837 x2  3 P 2.37
P: 0.0000 0.0000 0.2185 x2  4 Al 2.35-2.37
P: 0.0000 0.0000 0.4504 x2  6 Zr 2.57-2.58
P: 0.3333 0.6667 0.5604 x2  3 Al 2.53, 3 Zr 2.77
P: 0.3333 0.6667 0.8378 x2  3 Al 2.41

Computed properties:
- Energy above the most stable polymorph in this dataset: 0 meV/atom
- Density of states at the Fermi level: 5.85 states/eV/cell
- ΔE_f: -63 kJ per mole of atoms
- Magnetic moment: 0.0 μB per cell
- Electronic total energy: -6.21 eV/atom
- Calculated volume: 19.2 Å³/atom

[3]
Here is crystalline AlHgAu5 at its relaxed geometry from Alexandria. Energies are from PBE.

Cell: 4.2556 4.2556 7.3657 Å, 90.00 90.00 90.00°
With the nearest neighbours (Å) after each atom.
Space group P4/mmm (No. 123)
Asymmetric unit:
Al: 0.0000 0.0000 0.0000 x1  8 Au 2.61
Hg: 0.0000 0.0000 0.5000 x1  12 Au 3.01-3.04
Au: 0.0000 0.5000 0.2055 x4  2 Al 2.61
Au: 0.5000 0.5000 0.5000 x1  4 Hg 3.01, 8 Au 3.04

Computed properties:
- Density of states at the Fermi level: 2.58 states/eV/cell
- ΔE_f: -9 kJ per mole of atoms
- Magnetic moment: 0.0 μB per cell
- Electronic total energy: -3.02 eV/atom
- Calculated volume: 19.1 Å³/atom

[4]
Here is crystalline Er2Ni4Ge3Ir at its relaxed geometry from Alexandria. Energies are from PBE.

Cell: 3.9429 3.9429 10.2355 Å, 90.00 90.00 90.00°
With the nearest neighbours (Å) after each atom.
Space group P-4m2 (No. 115)
Asymmetric unit:
Er: 0.0000 0.5000 0.2499 x2  8 Ni 2.99-3.23, 6 Ge 3.05-3.23, 2 Ir 3.23
Ni: 0.0000 0.0000 0.0000 x1  4 Ge 2.37
Ni: 0.0000 0.5000 0.6450 x2  3 Ge 2.31-2.47, 2 Ir 2.47
Ni: 0.5000 0.5000 0.0000 x1  4 Ge 2.37
Ge: 0.0000 0.5000 0.8712 x2  5 Ni 2.31-2.37
Ge: 0.5000 0.5000 0.5000 x1  4 Ni 2.47
Ir: 0.0000 0.0000 0.5000 x1  4 Ni 2.47

Computed properties:
- Density of states at the Fermi level: 9.47 states/eV/cell
- ΔE_f: -57 kJ per mole of atoms
- Magnetic moment: 0.0 μB per cell
- Electronic total energy: -6.09 eV/atom
- Calculated volume: 15.9 Å³/atom

[5]
Here is crystalline Sr2Ca2Tl at its relaxed geometry from Alexandria. Energies are from PBE.

Cell: 8.3370 8.3370 6.2628 Å, 90.00 90.00 90.00°
With the nearest neighbours (Å) after each atom.
Space group P4/mbm (No. 127)
Asymmetric unit:
Sr: 0.1746 0.3254 0.0000 x4  6 Ca 3.74-4.15, 1 Sr 4.12
Ca: 0.1514 0.6514 0.5000 x4  2 Tl 3.17
Tl: 0.0000 0.0000 0.5000 x2  4 Ca 3.17

Computed properties:
- Energy above the most stable polymorph in this dataset: 0 meV/atom
- Density of states at the Fermi level: 13.53 states/eV/cell
- ΔE_f: -5 kJ per mole of atoms
- Magnetic moment: 0.0 μB per cell
- Electronic total energy: -2.00 eV/atom
- Calculated volume: 43.5 Å³/atom

[6]
Here is crystalline La2H3Pb at its relaxed geometry from Alexandria. Energies are from PBE.

Cell: 15.6893 3.9829 8.0111 Å, 90.00 112.43 90.00°
With the nearest neighbours (Å) after each atom.
Space group C2/m (No. 12)
Asymmetric unit:
La: 0.0305 0.0000 0.2797 x4  5 H 2.26-2.49
La: 0.2005 0.5000 0.6762 x4  6 H 2.27-2.52
H: 0.0692 0.5000 0.4231 x4  3 La 2.26-2.27, 2 H 2.45
H: 0.0949 0.0000 0.6153 x4  3 H 2.20-2.45, 1 La 2.42
H: 0.1934 0.0000 0.4799 x4  1 H 2.20, 2 La 2.43-2.44
Pb: 0.1305 0.5000 0.0322 x4  7 La 3.42-3.57, 5 H 3.61-3.83

Computed properties:
- Density of states at the Fermi level: 8.38 states/eV/cell
- Magnetic moment: 0.0 μB per cell
- Electronic total energy: -4.53 eV/atom
- Calculated volume: 19.3 Å³/atom

Question: Which value of electronic total energy does entry 6 give?
Answer: -4.53 eV/atom

Repeat the third record exactly.
Here is crystalline AlHgAu5 at its relaxed geometry from Alexandria. Energies are from PBE.

Cell: 4.2556 4.2556 7.3657 Å, 90.00 90.00 90.00°
With the nearest neighbours (Å) after each atom.
Space group P4/mmm (No. 123)
Asymmetric unit:
Al: 0.0000 0.0000 0.0000 x1  8 Au 2.61
Hg: 0.0000 0.0000 0.5000 x1  12 Au 3.01-3.04
Au: 0.0000 0.5000 0.2055 x4  2 Al 2.61
Au: 0.5000 0.5000 0.5000 x1  4 Hg 3.01, 8 Au 3.04

Computed properties:
- Density of states at the Fermi level: 2.58 states/eV/cell
- ΔE_f: -9 kJ per mole of atoms
- Magnetic moment: 0.0 μB per cell
- Electronic total energy: -3.02 eV/atom
- Calculated volume: 19.1 Å³/atom

Question: calculated volume of number 3 (AlHgAu5)?
Answer: 19.1 Å³/atom

Question: Among the records above, which one has the lowest calculated volume?
Answer: Er2Ni4Ge3Ir